No. 1
Material: Cs2RbSrHg
Method: DFT, PBE-GGA
State: relaxed

Computed properties:
Final energy: -0.036 hartree per atom
DOS(E_F): 0.91 states/eV per atom

a = 7.455 Å, b = 7.455 Å, c = 6.677 Å
α = 90.00°, β = 90.00°, γ = 90.00°
Fractional positions:
Cs (0.000, 0.500, 0.000)
Cs (0.500, 0.000, 0.000)
Sr (0.000, 0.000, 0.500)
Hg (0.000, 0.000, 0.000)
Rb (0.500, 0.500, 0.500)

No. 2
Material: CsRbHg2Te2
Method: DFT, PBE-GGA
State: relaxed

Computed properties:
Final energy: -0.074 hartree per atom
Formation energy without anion corrections: -549 meV/atom
DOS(E_F): 0.31 states/eV per atom

a = 5.368 Å, b = 5.368 Å, c = 10.099 Å
α = 90.00°, β = 90.00°, γ = 120.00°
Fractional positions:
Cs (0.000, 0.000, 0.000)
Rb (0.000, 0.000, 0.500)
Hg (0.667, 0.333, 0.265)
Hg (0.333, 0.667, 0.735)
Te (0.667, 0.333, 0.737)
Te (0.333, 0.667, 0.263)

No. 3
Material: CsRbHg2Te
Method: DFT, PBE-GGA
State: relaxed

Computed properties:
Final energy: -0.062 hartree per atom
Formation energy without anion corrections: -565 meV/atom

a = 5.374 Å, b = 5.339 Å, c = 8.893 Å
α = 107.47°, β = 107.59°, γ = 90.00°
Fractional positions:
Cs (0.423, 0.423, 0.847)
Rb (0.202, 0.702, 0.405)
Hg (0.693, 0.193, 0.386)
Hg (0.043, 0.043, 0.085)
Te (0.850, 0.850, 0.701)

No. 4
Material: Cs2RbHgTe
Method: DFT, PBE-GGA
State: relaxed

Computed properties:
Final energy: -0.065 hartree per atom
Formation energy without anion corrections: -532 meV/atom
DOS(E_F): 0.82 states/eV per atom

a = 7.424 Å, b = 7.424 Å, c = 7.015 Å
α = 90.00°, β = 90.00°, γ = 90.00°
Fractional positions:
Cs (0.000, 0.500, 0.000)
Cs (0.500, 0.000, 0.000)
Te (0.000, 0.000, 0.000)
Hg (0.500, 0.500, 0.500)
Rb (0.000, 0.000, 0.500)

Q: Which formula does entry 1 have?
A: Cs2RbSrHg

Q: Which of these has the highest final energy?
A: Cs2RbSrHg

Q: What is the final energy in the fourth record?
A: -0.065 hartree per atom

Q: Look up the final energy of the second one.
A: -0.074 hartree per atom